No. 1
The following is a DFT calculation (GGA-PBE) of a geometry-optimized RbLaBi3 structure.

Calculated values
Offset from the most stable computed form = 0.730 eV/atom
Energy of formation from the pure elements = 0.678 eV/atom
Total moment = 0.000 μB per cell

Lattice parameters (Å, degrees): 5.9293 5.9293 5.9293 90.00 90.00 90.00
Closest atoms and distances in Å follow each position.
Sites, in units of the cell vectors:
Rb  0.0000  0.0000  0.0000  6 Bi 2.96
La  0.5000  0.5000  0.5000  12 Bi 4.19
Bi  0.0000  0.0000  0.5000  2 Rb 2.96
Bi  0.0000  0.5000  0.0000  2 Rb 2.96
Bi  0.5000  0.0000  0.0000  2 Rb 2.96



No. 2
The following is a DFT calculation (GGA-PBE) of a geometry-optimized NaLa3H structure.

Calculated values
Offset from the most stable computed form = 0.000 eV/atom
Total moment = 0.000 μB per cell

Lattice parameters (Å, degrees): 5.2663 5.2663 5.2663 90.00 90.00 90.00
Closest atoms and distances in Å follow each position.
Sites, in units of the cell vectors:
Na  0.0000  0.0000  0.0000  12 La 3.72
La  0.0000  0.5000  0.5000  2 H 2.63
La  0.5000  0.0000  0.5000  2 H 2.63
La  0.5000  0.5000  0.0000  2 H 2.63
H  0.5000  0.5000  0.5000  6 La 2.63



No. 3
The following is a DFT calculation (GGA-PBE) of a geometry-optimized InFePt2 structure.

Calculated values
Energy of formation from the pure elements = -0.082 eV/atom
Total moment = 2.855 μB per cell

Lattice parameters (Å, degrees): 2.9418 2.9418 7.4268 90.00 90.00 90.00
Closest atoms and distances in Å follow each position.
Sites, in units of the cell vectors:
In  0.0000  0.0000  0.0000  4 Fe 2.84, 4 Pt 2.84, 4 In 2.94
Fe  0.5000  0.5000  0.7395  4 Pt 2.60, 4 In 2.84
Pt  0.0000  0.0000  0.5302  4 Fe 2.60, 4 Pt 2.89
Pt  0.5000  0.5000  0.2610  4 In 2.84, 8 Pt 2.89-2.94



No. 4
The following is a DFT calculation (GGA-PBE) of a geometry-optimized TiGaCu structure.

Calculated values
Energy of formation from the pure elements = -0.250 eV/atom
Total moment = 0.000 μB per cell

Lattice parameters (Å, degrees): 5.7013 5.7013 5.7013 150.94 150.94 41.56
Closest atoms and distances in Å follow each position.
Sites, in units of the cell vectors:
Ti  0.0000  0.0000  0.0000  4 Cu 2.73, 4 Ga 2.76, 4 Ti 2.86
Ga  0.3235  0.3235  0.0000  4 Cu 2.59, 4 Ti 2.76, 4 Ga 2.86
Cu  0.6714  0.6714  0.0000  4 Ga 2.59, 4 Ti 2.73, 4 Cu 2.86



no.,volume (Å³ per cell),Fermi-level density of states (states/eV/atom)
1,208.5,0.8801
2,146.1,0.8973
3,64.3,0.8070
4,43.6,0.7614